A relaxed Ti12Cu9Bi2O36 crystal, computed with PBE-GGA.

Summary:
The calculation puts the electronic total energy at -7.465 eV/atom. For the formation energy from raw total energies, the calculation gives -2.078 eV per atom. The calculation puts the volume at 626 Å³ per cell. The density of states at the Fermi level is 0.1059 states/eV per atom. The space-group type is P-3 (147).

Cell: 10.5541 10.5541 6.4942 Å, 90.00 90.00 120.00°
Fractional coordinates of all 59 atoms:
Ti 0.0000 0.0000 0.0000
Ti 0.0000 0.5000 0.0000
Ti 0.1579 0.8415 0.6636
Ti 0.1585 0.3164 0.6636
Ti 0.3164 0.1579 0.3364
Ti 0.3333 0.6667 0.3199
Ti 0.5000 0.0000 0.0000
Ti 0.5000 0.5000 0.0000
Ti 0.6667 0.3333 0.6801
Ti 0.6836 0.8421 0.6636
Ti 0.8415 0.6836 0.3364
Ti 0.8421 0.1585 0.3364
Cu 0.0000 0.5000 0.5000
Cu 0.1674 0.3353 0.1620
Cu 0.1680 0.8326 0.1620
Cu 0.3353 0.1680 0.8380
Cu 0.5000 0.0000 0.5000
Cu 0.5000 0.5000 0.5000
Cu 0.6647 0.8320 0.1620
Cu 0.8320 0.1674 0.8380
Cu 0.8326 0.6647 0.8380
Bi 0.3333 0.6667 0.7940
Bi 0.6667 0.3333 0.2060
O 0.0165 0.8528 0.8300
O 0.0446 0.7772 0.4122
O 0.0718 0.6252 0.7495
O 0.1132 0.4052 0.9142
O 0.1472 0.1637 0.8300
O 0.1637 0.0165 0.1700
O 0.1724 0.6493 0.1540
O 0.1920 0.5080 0.5136
O 0.2228 0.2674 0.4122
O 0.2674 0.0446 0.5878
O 0.2921 0.8868 0.9142
O 0.3160 0.8080 0.5136
O 0.3507 0.5231 0.1540
O 0.3748 0.4466 0.7495
O 0.4052 0.2921 0.0858
O 0.4466 0.0718 0.2505
O 0.4769 0.8276 0.1540
O 0.4920 0.6840 0.5136
O 0.5080 0.3160 0.4864
O 0.5231 0.1724 0.8460
O 0.5534 0.9282 0.7495
O 0.5948 0.7079 0.9142
O 0.6252 0.5534 0.2505
O 0.6493 0.4769 0.8460
O 0.6840 0.1920 0.4864
O 0.7079 0.1132 0.0858
O 0.7326 0.9554 0.4122
O 0.7772 0.7326 0.5878
O 0.8080 0.4920 0.4864
O 0.8276 0.3507 0.8460
O 0.8363 0.9835 0.8300
O 0.8528 0.8363 0.1700
O 0.8868 0.5948 0.0858
O 0.9282 0.3748 0.2505
O 0.9554 0.2228 0.5878
O 0.9835 0.1472 0.1700



A relaxed Sr3H5F crystal, computed with PBE-GGA.

Summary:
The calculation puts the electronic total energy at -3.689 eV/atom. The calculation puts the volume at 287 Å³ per cell. The density of states at the Fermi level is 0.0000 states/eV per atom. The space-group type is Cmcm (63).

Cell: 7.1079 7.1079 10.6460 Å, 90.00 90.00 147.74°
Fractional coordinates of all 18 atoms:
Sr 0.0717 0.9283 0.7500
Sr 0.3762 0.6238 0.5597
Sr 0.3762 0.6238 0.9403
Sr 0.6238 0.3762 0.0597
Sr 0.6238 0.3762 0.4403
Sr 0.9283 0.0717 0.2500
H 0.0000 0.0000 0.0000
H 0.0000 0.0000 0.5000
H 0.1938 0.8062 0.5717
H 0.1938 0.8062 0.9283
H 0.4575 0.5425 0.1341
H 0.4575 0.5425 0.3659
H 0.5425 0.4575 0.6341
H 0.5425 0.4575 0.8659
H 0.8062 0.1938 0.0717
H 0.8062 0.1938 0.4283
F 0.1162 0.8838 0.2500
F 0.8838 0.1162 0.7500



A relaxed Ba2Ge3Pd12Pt crystal, computed with PBE-GGA.

Summary:
The calculation puts the electronic total energy at -4.899 eV/atom. The calculation puts the volume at 396 Å³ per cell. The density of states at the Fermi level is 0.2501 states/eV per atom. The space-group type is R-3m (166). Its formation energy is -0.12 eV per atom.

Cell: 8.0304 8.0304 8.0304 Å, 63.73 63.73 63.73°
Fractional coordinates of all 18 atoms:
Ba 0.1136 0.1136 0.1136
Ba 0.8864 0.8864 0.8864
Ge 0.0000 0.5000 0.5000
Ge 0.5000 0.0000 0.5000
Ge 0.5000 0.5000 0.0000
Pd 0.1255 0.6247 0.6247
Pd 0.1486 0.1486 0.5911
Pd 0.1486 0.5911 0.1486
Pd 0.3753 0.3753 0.8745
Pd 0.3753 0.8745 0.3753
Pd 0.4089 0.8514 0.8514
Pd 0.5911 0.1486 0.1486
Pd 0.6247 0.1255 0.6247
Pd 0.6247 0.6247 0.1255
Pd 0.8514 0.4089 0.8514
Pd 0.8514 0.8514 0.4089
Pd 0.8745 0.3753 0.3753
Pt 0.5000 0.5000 0.5000



A relaxed Li2DyGa9 crystal, computed with PBE-GGA.

Summary:
The calculation puts the electronic total energy at -3.249 eV/atom. The calculation puts the volume at 214 Å³ per cell. The density of states at the Fermi level is 0.3906 states/eV per atom. The space-group type is P4/mmm (123). Its formation energy is -0.28 eV per atom.

Cell: 4.1247 4.1247 12.5640 Å, 90.00 90.00 90.00°
Fractional coordinates of all 12 atoms:
Li 0.0000 0.0000 0.1642
Li 0.0000 0.0000 0.8358
Dy 0.0000 0.0000 0.5000
Ga 0.0000 0.5000 0.0000
Ga 0.0000 0.5000 0.3198
Ga 0.0000 0.5000 0.6802
Ga 0.5000 0.0000 0.0000
Ga 0.5000 0.0000 0.3198
Ga 0.5000 0.0000 0.6802
Ga 0.5000 0.5000 0.1659
Ga 0.5000 0.5000 0.5000
Ga 0.5000 0.5000 0.8341



A relaxed LaYTlGe2 crystal, computed with PBE-GGA.

Summary:
The calculation puts the electronic total energy at -4.083 eV/atom. The calculation puts the volume at 174 Å³ per cell. The density of states at the Fermi level is 0.9628 states/eV per atom. The space-group type is P4/mmm (123). Its formation energy is 0.52 eV per atom.

Cell: 5.4794 5.4794 5.7940 Å, 90.00 90.00 90.00°
Fractional coordinates of all 5 atoms:
La 0.0000 0.0000 0.0000
Y 0.5000 0.5000 0.5000
Tl 0.0000 0.0000 0.5000
Ge 0.0000 0.5000 0.0000
Ge 0.5000 0.0000 0.0000



A relaxed Ta3BeOs crystal, computed with PBE-GGA.

Summary:
The calculation puts the electronic total energy at -10.009 eV/atom. The calculation puts the volume at 160 Å³ per cell. The density of states at the Fermi level is 0.7287 states/eV per atom. The space-group type is P2_1/m (11). Its formation energy is 0.09 eV per atom.

Cell: 2.9221 8.9699 6.1281 Å, 90.00 95.59 90.00°
Fractional coordinates of all 10 atoms:
Ta 0.0168 0.2500 0.4939
Ta 0.2948 0.0002 0.7553
Ta 0.2948 0.4998 0.7553
Ta 0.7052 0.9998 0.2447
Ta 0.7052 0.5002 0.2447
Ta 0.9832 0.7500 0.5061
Be 0.2982 0.7500 0.1746
Be 0.7018 0.2500 0.8254
Os 0.2833 0.2500 0.1037
Os 0.7167 0.7500 0.8963